[1]
Nd2HoSc (PBE, relaxed); calculated formation energy = 0.057 eV/atom; energy relative to the lowest polymorph listed for this composition = 0.07 eV/f.u.; SG = R3m (160)
1.0
3.563 0.000 0.000
1.781 3.086 0.000
1.781 1.029 11.407
Sc Nd Ho
1 2 1
Direct
0.667 0.667 0.999 Sc
0.253 0.253 0.242 Nd
0.081 0.081 0.758 Nd
0.499 0.499 0.502 Ho

=====

[2]
Tb6MgZn (PBE, relaxed); calculated formation energy = -0.076 eV/atom; energy relative to the lowest polymorph listed for this composition = 0.00 eV/f.u.; SG = I4/mmm (139)
1.0
-3.534 2.758 -2.426
-3.495 -3.559 1.051
-5.453 3.731 6.839
Tb Zn Mg
6 1 1
Direct
0.251 0.251 0.498 Tb
0.391 0.891 0.219 Tb
0.891 0.391 0.219 Tb
0.749 0.749 0.502 Tb
0.609 0.109 0.781 Tb
0.109 0.609 0.781 Tb
0.000 0.000 0.000 Zn
0.500 0.500 0.000 Mg

=====

[3]
BaNa2In2Ge2 (PBE, relaxed); calculated formation energy = -0.273 eV/atom; SG = R-3m (166)
1.0
4.828 0.000 0.000
2.414 4.181 0.000
2.414 1.394 9.235
Na Ge Ba In
2 2 1 2
Direct
0.853 0.853 0.441 Na
0.147 0.147 0.559 Na
0.260 0.260 0.220 Ge
0.740 0.740 0.780 Ge
0.000 0.000 0.000 Ba
0.562 0.562 0.315 In
0.438 0.438 0.685 In

=====

[4]
ZnGaAg2 (PBE, relaxed); calculated formation energy = 0.027 eV/atom; SG = Pnma (62)
1.0
2.842 0.000 0.000
0.000 5.623 0.000
0.000 0.000 17.566
Ga Ag Zn
4 8 4
Direct
0.750 0.910 0.383 Ga
0.750 0.410 0.117 Ga
0.250 0.090 0.617 Ga
0.250 0.590 0.883 Ga
0.750 0.659 0.251 Ag
0.750 0.159 0.249 Ag
0.750 0.267 0.494 Ag
0.250 0.841 0.751 Ag
0.750 0.767 0.006 Ag
0.250 0.233 0.994 Ag
0.250 0.733 0.506 Ag
0.250 0.341 0.749 Ag
0.250 0.912 0.134 Zn
0.750 0.088 0.866 Zn
0.250 0.412 0.366 Zn
0.750 0.588 0.634 Zn

=====

Which of these has the highest calculated formation energy? Nd2HoSc